(1)
The following is a DFT calculation (PBE-GGA) of crystalline Cs2MgInSb2 at its relaxed geometry.

Results
Size of the total moment ... 0.00 μB per atom
SG ... No. 72
Density ... 4.5 Mg/m³
Formation energy without anion corrections ... -0.450 eV/atom

Unit cell a=7.344 b=7.360 c=10.207 alpha=111.13 beta=111.09 gamma=90.00
Fractional coordinates of all 12 atoms:
Sb  0.355  0.591  0.181
Mg  0.500  0.250  0.000
In  0.000  0.750  0.000
Sb  0.826  0.091  0.181
Mg  0.500  0.750  0.000
Cs  0.068  0.329  0.658
In  0.000  0.250  0.000
Cs  0.589  0.829  0.658
Sb  0.174  0.909  0.819
Cs  0.932  0.671  0.342
Cs  0.411  0.171  0.342
Sb  0.645  0.409  0.819

(2)
The following is a DFT calculation (PBE-GGA) of crystalline TaMnSe2N at its relaxed geometry.

Results
ΔE to the lowest computed polymorph ... 0 meV/atom
Size of the total moment ... 1.02 μB per atom
SG ... No. 123
Density ... 6.5 Mg/m³
Formation energy without anion corrections ... 0.045 eV/atom

Unit cell a=5.169 b=5.169 c=3.885 alpha=90.00 beta=90.00 gamma=90.00
Site moments in Bohr magnetons follow the coordinates.
Fractional coordinates of all 5 atoms:
Se  0.000  0.500  0.000  0.04
Se  0.500  0.000  0.000  0.04
Mn  0.500  0.500  0.500  4.46
Ta  0.000  0.000  0.000  0.03
N  0.000  0.000  0.500  0.06